Compound: Al2RuAu
Source: Alexandria
Functional: SCAN
Structure: single point on PBEsol structure

Calculated values
Total magnetization in μB per cell: 0.0
Energy of formation in eV per atom: -0.6835

a = 9.2287 Å, b = 3.1093 Å, c = 4.2386 Å
α = 90.00°, β = 106.88°, γ = 90.00°
Space group Cm (No. 8)
Inequivalent atoms, fractional coordinates:
Al1 0.0000 0.0000 0.0000 x2
Al2 0.2384 0.0000 0.6397 x2
Ru1 0.2313 0.5000 0.1217 x2
Au1 0.4930 0.0000 0.4925 x2

=====

Compound: NiPt2Rh
Source: Alexandria
Functional: SCAN
Structure: single point on PBEsol structure

Calculated values
Total magnetization in μB per cell: 3.4
Energy of formation in eV per atom: -0.0570

a = 2.6956 Å, b = 2.6956 Å, c = 26.0462 Å
α = 90.00°, β = 90.00°, γ = 120.00°
Space group R3m (No. 160, hexagonal axes)
Inequivalent atoms, fractional coordinates:
Ni1 0.0000 0.0000 0.0000 x3
Pt1 0.0000 0.0000 0.2536 x3
Pt2 0.0000 0.0000 0.4959 x3
Rh1 0.0000 0.0000 0.7426 x3

=====

no.,total energy (eV per cell)
1,-244.44
2,-571.68